Material: LuGaAgAu
Method: DFT, PBE
State: relaxed

Summary:
The calculated volume comes out at 19.208 Å³ per atom. The value obtained for the total energy is -15.6 eV/cell. As for the mass density: 11.88 Mg/m³.

a = 4.7718 Å, b = 4.7718 Å, c = 4.7718 Å
α = 60.00°, β = 60.00°, γ = 60.00°
With the nearest neighbours (Å) after each atom.
Sites, in units of the cell vectors:
1 Lu 0.0000 0.0000 0.0000  4 Ag 2.92, 4 Au 2.92
2 Ga 0.5000 0.5000 0.5000  4 Ag 2.92, 4 Au 2.92
3 Ag 0.7500 0.7500 0.7500  4 Lu 2.92, 4 Ga 2.92
4 Au 0.2500 0.2500 0.2500  4 Ga 2.92, 4 Lu 2.92

Material: PmPuZn4
Method: DFT, PBE
State: relaxed

Summary:
The calculated volume comes out at 22.054 Å³ per atom. The value obtained for the total energy is -25.1 eV/cell. As for the mass density: 8.16 Mg/m³.

a = 8.2384 Å, b = 8.2384 Å, c = 8.2384 Å
α = 150.85°, β = 150.85°, γ = 41.69°
With the nearest neighbours (Å) after each atom.
Sites, in units of the cell vectors:
1 Pm 0.0000 0.0000 0.0000  12 Zn 3.19-3.32
2 Pu 0.7500 0.2500 0.5000  12 Zn 3.19-3.31
3 Zn 0.1685 0.6685 0.5000  3 Zn 2.46-2.51
4 Zn 0.3315 0.8315 0.5000  3 Zn 2.46-2.51
5 Zn 0.4179 0.4179 0.0000  3 Zn 2.46-2.53
6 Zn 0.5821 0.5821 0.0000  3 Zn 2.46-2.53

Material: MnAlSb2I
Method: DFT, PBE
State: relaxed

Summary:
The calculated volume comes out at 31.148 Å³ per atom. For the formation energy without anion corrections, the calculation gives 44.4 kJ/mol of atoms. The value obtained for the total energy is -20.4 eV/cell. As for the mass density: 4.82 Mg/m³.

a = 5.0165 Å, b = 5.0165 Å, c = 6.1887 Å
α = 90.00°, β = 90.00°, γ = 90.00°
With the nearest neighbours (Å) after each atom.
Sites, in units of the cell vectors:
1 Mn 0.0000 0.0000 0.0000  4 Sb 2.51
2 Al 0.5000 0.5000 0.5000  4 I 3.55
3 Sb 0.0000 0.5000 0.0000  2 Mn 2.51
4 Sb 0.5000 0.0000 0.0000  2 Mn 2.51
5 I 0.0000 0.0000 0.5000  2 Mn 3.09

Q: What is the calculated volume in the first record?
A: 19.208 Å³ per atom

Q: Which value of mass density does entry 1 give?
A: 11.88 Mg/m³

Q: Look up the mass density of the third one.
A: 4.82 Mg/m³